Entry 1:
Below is a geometry-optimized ScSnAu structure, with properties calculated at the PBE-GGA level.

Cell lengths 5.8329, 5.8438, 4.6260 Å; angles 71.38, 66.53, 64.56 degrees
Atoms (fractional coordinates):
1 Sc 0.2349 0.5470 0.0436
2 Au 0.1377 0.0162 0.3085
3 Au 0.9104 0.5935 0.6913
4 Sn 0.5987 0.5789 0.3504
5 Sn 0.8184 0.1081 0.9318
6 Sc 0.4423 0.0740 0.6421

## Properties
ΔH_f (0 K) = -0.529 eV/atom
E = -5.07 eV/atom
DOS at the Fermi energy = 1.73 states/eV/f.u.
Calculated density = 9.32 g/cm³
V = 21.42 Å³ per atom


Entry 2:
Below is a geometry-optimized FeNiTe2N structure, with properties calculated at the PBE-GGA level.

Cell lengths 5.1744, 5.1744, 3.3558 Å; angles 90.00, 90.00, 90.00 degrees
Atoms (fractional coordinates):
1 Fe 0.5000 0.5000 0.5000
2 Ni 0.0000 0.0000 0.0000
3 Te 0.5000 0.0000 0.0000
4 N 0.0000 0.0000 0.5000
5 Te 0.0000 0.5000 0.0000

## Properties
Formation energy (no corrections) = 0.851 eV/atom
E = -4.92 eV/atom
E above lowest polymorph = 0.471 eV/atom
DOS at the Fermi energy = 8.84 states/eV/f.u.
Calculated density = 7.09 g/cm³
V = 17.97 Å³ per atom


Entry 3:
Below is a geometry-optimized ScTlSb2 structure, with properties calculated at the PBE-GGA level.

Cell lengths 3.3413, 3.3413, 9.6481 Å; angles 90.00, 90.00, 90.00 degrees
Atoms (fractional coordinates):
1 Sc 0.0000 0.0000 0.5001
2 Tl 0.5000 0.5000 0.7305
3 Sb 0.0000 0.0000 0.9727
4 Sb 0.5000 0.5000 0.2967

## Properties
Formation energy (no corrections) = -0.070 eV/atom
E = -4.31 eV/atom
E above lowest polymorph = 0.292 eV/atom
DOS at the Fermi energy = 2.66 states/eV/f.u.
Calculated density = 7.60 g/cm³
V = 26.93 Å³ per atom